Entry 1:
The following is a PBE calculation of crystalline La2BeRe at its relaxed geometry, from Alexandria.

Unit cell a=6.907 b=6.907 c=6.907 alpha=90.00 beta=90.00 gamma=90.00
Space group F-43m (No. 216)
Asymmetric unit:
La: 0.000 0.000 0.000
La: 0.250 0.250 0.250
Be: 0.000 0.000 0.500
Re: 0.250 0.250 0.750

Calculated values
- volume (Å³ per cell) = 329.6

***

Entry 2:
The following is a PBE calculation of crystalline LaBe2Re at its relaxed geometry, from Alexandria.

Unit cell a=3.127 b=5.034 c=8.435 alpha=90.00 beta=90.00 gamma=90.00
Space group Imm2 (No. 44)
Asymmetric unit:
La: 0.000 0.000 0.000
Be: 0.000 0.000 0.499
Be: 0.000 0.500 0.803
Re: 0.000 0.500 0.204

Calculated values
- energy above the lowest structure with this stoichiometry (meV/atom) = 553.4
- volume (Å³ per cell) = 132.8

***

Entry 3:
The following is a PBE calculation of crystalline La4BeRe at its relaxed geometry, from Alexandria.

Unit cell a=8.704 b=8.704 c=8.704 alpha=90.00 beta=90.00 gamma=90.00
Space group F-43m (No. 216)
Asymmetric unit:
La: 0.124 0.124 0.124
Be: 0.000 0.000 0.500
Re: 0.250 0.250 0.750

Calculated values
- volume (Å³ per cell) = 659.5

***

Entry 4:
The following is a PBE calculation of crystalline LaBe3Re at its relaxed geometry, from Alexandria.

Unit cell a=4.496 b=4.496 c=4.496 alpha=90.00 beta=90.00 gamma=90.00
Space group Pm-3m (No. 221)
Asymmetric unit:
La: 0.000 0.000 0.000
Be: 0.000 0.000 0.500
Re: 0.500 0.500 0.500

Calculated values
- energy above the lowest structure with this stoichiometry (meV/atom) = 2561.7
- volume (Å³ per cell) = 90.9

***

Entry 5:
The following is a PBE calculation of crystalline LaBe2Re at its relaxed geometry, from Alexandria.

Unit cell a=3.070 b=3.305 c=6.705 alpha=90.00 beta=90.00 gamma=90.00
Space group Pmm2 (No. 25)
Asymmetric unit:
La: 0.000 0.000 0.000
Be: 0.000 0.000 0.454
Be: 0.500 0.500 0.653
Re: 0.500 0.500 0.327

Calculated values
- energy above the lowest structure with this stoichiometry (meV/atom) = 358.3
- volume (Å³ per cell) = 68.0

***

Entry 6:
The following is a PBE calculation of crystalline LaBeRe at its relaxed geometry, from Alexandria.

Unit cell a=3.309 b=3.309 c=10.037 alpha=90.00 beta=90.00 gamma=90.00
Space group I4mm (No. 107)
Asymmetric unit:
La: 0.000 0.000 0.000
Be: 0.000 0.000 0.724
Re: 0.000 0.000 0.275

Calculated values
- energy above the lowest structure with this stoichiometry (meV/atom) = 0.0
- volume (Å³ per cell) = 109.9

***

Entry 7:
The following is a PBE calculation of crystalline La2BeRe at its relaxed geometry, from Alexandria.

Unit cell a=8.018 b=8.018 c=5.947 alpha=90.00 beta=90.00 gamma=90.00
Space group I-42d (No. 122)
Asymmetric unit:
La: 0.221 0.250 0.125
Be: 0.000 0.000 0.500
Re: 0.000 0.000 0.000

Calculated values
- volume (Å³ per cell) = 382.3

***

Entry 8:
The following is a PBE calculation of crystalline La2BeRe at its relaxed geometry, from Alexandria.

Unit cell a=3.364 b=3.364 c=8.306 alpha=90.00 beta=90.00 gamma=90.00
Space group P4mm (No. 99)
Asymmetric unit:
La: 0.000 0.000 0.000
La: 0.500 0.500 0.428
Be: 0.500 0.500 0.765
Re: 0.000 0.000 0.690

Calculated values
- volume (Å³ per cell) = 94.0

***

Formation energy from the elements list, top to bottom, in kJ/mol of atoms: 51.62 60.17 114.90 264.79 41.34 22.21 70.51 13.92